[1]
Computed, not measured: LiThAlHg after structural relaxation at the PBE level of DFT.

Values from the calculation:
final energy: -14.09 eV/f.u.
space-group type: F-43m (216)
formation energy from the elements: -177.1 meV/atom
DOS at the Fermi energy: 0.651 states/eV/atom

The structure in extended XYZ format:
```
4
Lattice="5.110 0.000 0.000 2.555 4.425 0.000 2.555 1.475 4.172" Properties=species:S:1:pos:R:3 pbc="T T T"
Al 7.665 4.425 3.129
Hg 2.555 1.475 1.043
Li 0.000 0.000 0.000
Th 5.110 2.950 2.086
```

***

[2]
Computed, not measured: LiAl2TlHg after structural relaxation at the PBE level of DFT.

Values from the calculation:
final energy: -9.48 eV/f.u.
space-group type: P4/mmm (123)
formation energy from the elements: 517.0 meV/atom
DOS at the Fermi energy: 0.580 states/eV/atom

The structure in extended XYZ format:
```
5
Lattice="-4.769 1.598 -0.492 0.517 -0.318 -6.034 -1.615 -4.787 0.114" Properties=species:S:1:pos:R:3 pbc="T T T"
Al -0.808 -2.393 0.057
Al -2.384 0.799 -0.246
Tl 0.258 -0.159 -3.017
Li -2.934 -1.753 -3.206
Hg 0.000 0.000 0.000
```

***

[3]
Computed, not measured: LiTmAlHg after structural relaxation at the PBE level of DFT.

Values from the calculation:
final energy: -11.68 eV/f.u.
space-group type: F-43m (216)
formation energy from the elements: -313.6 meV/atom
DOS at the Fermi energy: 0.489 states/eV/atom

The structure in extended XYZ format:
```
4
Lattice="4.909 0.000 0.000 2.455 4.251 0.000 2.455 1.417 4.008" Properties=species:S:1:pos:R:3 pbc="T T T"
Tm 2.455 1.417 1.002
Al 0.000 0.000 0.000
Li 7.364 4.251 3.006
Hg 4.909 2.834 2.004
```

***

[4]
Computed, not measured: LuAlHg after structural relaxation at the PBE level of DFT.

Values from the calculation:
final energy: -9.80 eV/f.u.
relative energy among the computed polymorphs: 0.000 eV per atom
space-group type: P-6m2 (187)
formation energy from the elements: -411.2 meV/atom
DOS at the Fermi energy: 0.356 states/eV/atom

The structure in extended XYZ format:
```
3
Lattice="-2.477 -2.469 -0.001 1.621 -1.624 -4.009 1.640 -1.648 3.992" Properties=species:S:1:pos:R:3 pbc="T T T"
Hg 1.221 -2.051 1.324
Lu -0.024 -3.278 -1.343
Al -0.413 -0.412 0.000
```

***

[5]
Computed, not measured: LuAlHg2 after structural relaxation at the PBE level of DFT.

Values from the calculation:
final energy: -9.83 eV/f.u.
space-group type: P4/mmm (123)
formation energy from the elements: -240.1 meV/atom
DOS at the Fermi energy: 0.572 states/eV/atom

The structure in extended XYZ format:
```
4
Lattice="4.394 0.000 0.000 0.000 4.450 0.000 0.000 0.000 4.450" Properties=species:S:1:pos:R:3 pbc="T T T"
Al 2.197 0.000 0.000
Lu 2.197 2.225 2.225
Hg 0.000 0.000 2.225
Hg 0.000 2.225 0.000
```

***

[6]
Computed, not measured: LuAl2Hg after structural relaxation at the PBE level of DFT.

Values from the calculation:
final energy: -13.54 eV/f.u.
relative energy among the computed polymorphs: 0.000 eV per atom
space-group type: P4/mmm (123)
formation energy from the elements: -307.8 meV/atom
DOS at the Fermi energy: 0.314 states/eV/atom

The structure in extended XYZ format:
```
4
Lattice="-0.515 1.332 -4.021 -4.074 -1.485 0.030 -1.390 3.842 1.451" Properties=species:S:1:pos:R:3 pbc="T T T"
Hg -0.257 0.666 -2.010
Al -2.037 -0.742 0.015
Al -0.695 1.921 0.725
Lu -2.989 1.845 -1.270
```